1.
Tb2ScZn3 | Alexandria via LeMat-Bulk | PBE | relaxed; raw total energy = -0.26252 Ry/atom; symmetry = P4/mmm, No. 123; spin magnetization = 0.0007 μB/atom
1.0
3.503 0.000 0.000
0.000 3.503 0.000
0.000 0.000 10.555
Tb Zn Sc
2 3 1
direct
0.500 0.500 0.827
0.500 0.500 0.173
0.000 0.000 0.000
0.000 0.000 0.354
0.000 0.000 0.646
0.500 0.500 0.500

---

2.
TbScZn4 | Alexandria via LeMat-Bulk | PBE | relaxed; symmetry = F-43m, No. 216; spin magnetization = 0.0000 μB/atom; energy relative to the lowest polymorph listed for this composition = 0.20 eV per formula unit
1.0
5.365 0.000 0.000
2.682 4.646 0.000
2.682 1.549 4.380
Sc Tb Zn
1 1 4
direct
0.000 0.000 0.000
0.250 0.250 0.250
0.625 0.625 0.124
0.124 0.625 0.625
0.625 0.124 0.625
0.625 0.625 0.625

---

3.
TbSc3Zn4 | Alexandria via LeMat-Bulk | PBE | relaxed; raw total energy = -0.28972 Ry/atom; symmetry = P4/mmm, No. 123; spin magnetization = 0.0003 μB/atom
1.0
-4.304 -2.131 0.002
2.713 -5.483 -3.169
1.964 -3.957 8.528
Sc Zn Tb
6 8 2
direct
0.499 0.500 0.250
0.501 0.000 0.750
0.000 0.000 0.000
0.499 0.000 0.250
0.501 0.500 0.750
0.000 0.000 0.500
0.999 0.766 0.250
0.001 0.234 0.750
0.999 0.234 0.250
0.500 0.234 0.500
0.001 0.766 0.750
0.500 0.766 0.000
0.500 0.234 0.000
0.500 0.766 0.500
0.000 0.500 0.500
0.000 0.500 0.000

---

4.
Tb5ScZn4 | Alexandria via LeMat-Bulk | PBE | relaxed; raw total energy = -0.27316 Ry/atom; symmetry = P4/mmm, No. 123; spin magnetization = 0.0000 μB/atom
1.0
3.568 0.000 0.000
0.000 3.568 0.000
0.000 0.000 18.935
Tb Sc Zn
5 1 4
direct
0.500 0.500 0.311
0.500 0.500 0.689
0.500 0.500 0.122
0.500 0.500 0.878
0.500 0.500 0.500
0.000 0.000 0.000
0.000 0.000 0.785
0.000 0.000 0.595
0.000 0.000 0.405
0.000 0.000 0.215

---

The highest spin magnetization belongs to which entry? Tb2ScZn3

---

Please write out number 4 again, unchanged.
Tb5ScZn4 | Alexandria via LeMat-Bulk | PBE | relaxed; raw total energy = -0.27316 Ry/atom; symmetry = P4/mmm, No. 123; spin magnetization = 0.0000 μB/atom
1.0
3.568 0.000 0.000
0.000 3.568 0.000
0.000 0.000 18.935
Tb Sc Zn
5 1 4
direct
0.500 0.500 0.311
0.500 0.500 0.689
0.500 0.500 0.122
0.500 0.500 0.878
0.500 0.500 0.500
0.000 0.000 0.000
0.000 0.000 0.785
0.000 0.000 0.595
0.000 0.000 0.405
0.000 0.000 0.215

---

The highest spin magnetization belongs to which entry? Tb2ScZn3